1.
# BaCeI2, relaxed, DFT PBE
data_BaCeI2
_cell_length_a 4.2331
_cell_length_b 4.2331
_cell_length_c 34.3212
_cell_angle_alpha 90.00
_cell_angle_beta 90.00
_cell_angle_gamma 120.00
_space_group_name_H-M_alt 'R -3 m'
_space_group_IT_number 166
_space_group_name_Hall '-R 3 2"'
loop_
_atom_site_label
_atom_site_fract_x
_atom_site_fract_y
_atom_site_fract_z
Ba1 0.0000 0.0000 0.0000
Ce1 0.0000 0.0000 0.5000
I1 0.0000 0.0000 0.1040
# ΔE_f (raw): -0.90 eV/atom

***

2.
# LiTl2Si, relaxed, DFT PBE
data_LiTl2Si
_cell_length_a 3.4742
_cell_length_b 3.4742
_cell_length_c 26.3455
_cell_angle_alpha 90.00
_cell_angle_beta 90.00
_cell_angle_gamma 120.00
_space_group_name_H-M_alt 'R -3 m'
_space_group_IT_number 166
_space_group_name_Hall '-R 3 2"'
loop_
_atom_site_label
_atom_site_fract_x
_atom_site_fract_y
_atom_site_fract_z
Li1 0.0000 0.0000 0.0000
Tl1 0.0000 0.0000 0.2500
Si1 0.0000 0.0000 0.5000
# ΔE_f (raw): 0.19 eV/atom
# distance to the lowest polymorph of the same formula: 0.051 eV per atom

***

3.
# VP2S4, relaxed, DFT PBE
data_VP2S4
_cell_length_a 6.8203
_cell_length_b 6.8203
_cell_length_c 6.4410
_cell_angle_alpha 90.00
_cell_angle_beta 90.00
_cell_angle_gamma 90.00
_space_group_name_H-M_alt 'I 4/m'
_space_group_IT_number 87
_space_group_name_Hall '-I 4'
loop_
_atom_site_label
_atom_site_fract_x
_atom_site_fract_y
_atom_site_fract_z
V1 0.0000 0.0000 0.0000
P1 0.0000 0.5000 0.2500
S1 0.1646 0.6896 0.0000
# ΔE_f (raw): 0.17 eV/atom

***

4.
# Pr8CN3Cl4, relaxed, DFT PBE
data_Pr8CN3Cl4
_cell_length_a 7.5025
_cell_length_b 7.5025
_cell_length_c 21.4334
_cell_angle_alpha 90.00
_cell_angle_beta 90.00
_cell_angle_gamma 120.00
_space_group_name_H-M_alt 'R -3 m'
_space_group_IT_number 166
_space_group_name_Hall '-R 3 2"'
loop_
_atom_site_label
_atom_site_fract_x
_atom_site_fract_y
_atom_site_fract_z
Pr1 0.0000 0.0000 0.2290
Pr2 0.0035 0.5018 0.7705
C1 0.0000 0.0000 0.5000
N1 0.0000 0.5000 0.5000
Cl1 0.0000 0.0000 0.0000
Cl2 0.0000 0.5000 0.0000
# ΔE_f (raw): -1.40 eV/atom

***

5.
# KFeCo, relaxed, DFT PBE
data_KFeCo
_cell_length_a 2.8404
_cell_length_b 5.8055
_cell_length_c 7.9150
_cell_angle_alpha 90.04
_cell_angle_beta 100.16
_cell_angle_gamma 90.01
_space_group_name_H-M_alt 'P 1'
_space_group_IT_number 1
_space_group_name_Hall 'P 1'
loop_
_atom_site_label
_atom_site_fract_x
_atom_site_fract_y
_atom_site_fract_z
K1 0.0000 0.0000 0.0000
K2 0.3421 0.4992 0.6934
Fe1 0.2653 0.0038 0.5406
Fe2 0.6713 0.7749 0.3490
Co1 0.1121 0.4895 0.2293
Co2 0.6732 0.2073 0.3537
# DFT formation energy: 704 meV/atom
# distance to the lowest polymorph of the same formula: 0.286 eV per atom

***

6.
# VInCoRu, relaxed, DFT PBE
data_VInCoRu
_cell_length_a 6.1399
_cell_length_b 6.1399
_cell_length_c 6.1399
_cell_angle_alpha 90.00
_cell_angle_beta 90.00
_cell_angle_gamma 90.00
_space_group_name_H-M_alt 'F -4 3 m'
_space_group_IT_number 216
_space_group_name_Hall 'F -4 2 3'
loop_
_atom_site_label
_atom_site_fract_x
_atom_site_fract_y
_atom_site_fract_z
V1 0.0000 0.0000 0.0000
In1 0.0000 0.0000 0.5000
Co1 0.2500 0.2500 0.2500
Ru1 0.2500 0.2500 0.7500
# DFT formation energy: -11 meV/atom

***

7.
# Cu2Pd3Au3, relaxed, DFT PBE
data_Cu2Pd3Au3
_cell_length_a 3.9259
_cell_length_b 3.9866
_cell_length_c 8.0225
_cell_angle_alpha 90.00
_cell_angle_beta 90.00
_cell_angle_gamma 90.00
_space_group_name_H-M_alt 'P m m m'
_space_group_IT_number 47
_space_group_name_Hall '-P 2 2'
loop_
_atom_site_label
_atom_site_fract_x
_atom_site_fract_y
_atom_site_fract_z
Cu1 0.0000 0.0000 0.2442
Pd1 0.0000 0.5000 0.0000
Pd2 0.0000 0.5000 0.5000
Pd3 0.5000 0.0000 0.0000
Au1 0.5000 0.0000 0.5000
Au2 0.5000 0.5000 0.2467
# DFT formation energy: -79 meV/atom
# distance to the lowest polymorph of the same formula: 0.031 eV per atom

***

8.
# FeMoPt2, relaxed, DFT PBE
data_FeMoPt2
_cell_length_a 2.7493
_cell_length_b 2.7493
_cell_length_c 7.8180
_cell_angle_alpha 90.00
_cell_angle_beta 90.00
_cell_angle_gamma 90.00
_space_group_name_H-M_alt 'P 4/m m m'
_space_group_IT_number 123
_space_group_name_Hall '-P 4 2'
loop_
_atom_site_label
_atom_site_fract_x
_atom_site_fract_y
_atom_site_fract_z
Fe1 0.0000 0.0000 0.0000
Mo1 0.0000 0.0000 0.5000
Pt1 0.5000 0.5000 0.2426
# DFT formation energy: -282 meV/atom

***

9.
# TbPmEuIn, relaxed, DFT PBE
data_TbPmEuIn
_cell_length_a 7.9043
_cell_length_b 7.9043
_cell_length_c 7.9043
_cell_angle_alpha 90.00
_cell_angle_beta 90.00
_cell_angle_gamma 90.00
_space_group_name_H-M_alt 'F -4 3 m'
_space_group_IT_number 216
_space_group_name_Hall 'F -4 2 3'
loop_
_atom_site_label
_atom_site_fract_x
_atom_site_fract_y
_atom_site_fract_z
Tb1 0.0000 0.0000 0.0000
Pm1 0.2500 0.2500 0.7500
Eu1 0.0000 0.0000 0.5000
In1 0.2500 0.2500 0.2500
# DFT formation energy: -81 meV/atom

***

10.
# NaPIr3, relaxed, DFT PBE
data_NaPIr3
_cell_length_a 4.4382
_cell_length_b 4.4382
_cell_length_c 4.4382
_cell_angle_alpha 90.00
_cell_angle_beta 90.00
_cell_angle_gamma 90.00
_space_group_name_H-M_alt 'P m -3 m'
_space_group_IT_number 221
_space_group_name_Hall '-P 4 2 3'
loop_
_atom_site_label
_atom_site_fract_x
_atom_site_fract_y
_atom_site_fract_z
Na1 0.0000 0.0000 0.0000
P1 0.5000 0.5000 0.5000
Ir1 0.0000 0.5000 0.5000
# DFT formation energy: 343 meV/atom
# distance to the lowest polymorph of the same formula: 0.000 eV per atom

***

11.
# UFePN, relaxed, DFT PBE
data_UFePN
_cell_length_a 3.7825
_cell_length_b 3.7825
_cell_length_c 7.5400
_cell_angle_alpha 90.00
_cell_angle_beta 90.00
_cell_angle_gamma 90.00
_space_group_name_H-M_alt 'P 4/n m m'
_space_group_IT_number 129
loop_
_space_group_symop_operation_xyz
'x,y,z'
'-x,-y,-z'
'-y+1/2,x,z'
'y+1/2,-x,-z'
'-x+1/2,-y+1/2,z'
'x+1/2,y+1/2,-z'
'y,-x+1/2,z'
'-y,x+1/2,-z'
'x+1/2,-y,-z'
'-x+1/2,y,z'
'-y,-x,-z'
'y,x,z'
'-x,y+1/2,-z'
'x,-y+1/2,z'
'y+1/2,x+1/2,-z'
'-y+1/2,-x+1/2,z'
loop_
_atom_site_label
_atom_site_fract_x
_atom_site_fract_y
_atom_site_fract_z
U1 0.2500 0.2500 0.1598
Fe1 0.2500 0.7500 0.5000
P1 0.2500 0.2500 0.6498
N1 0.2500 0.7500 0.0000
# ΔE_f (raw): -1.14 eV/atom

***

12.
# LuMgPbAu, relaxed, DFT PBE
data_LuMgPbAu
_cell_length_a 7.1515
_cell_length_b 7.1515
_cell_length_c 7.1515
_cell_angle_alpha 90.00
_cell_angle_beta 90.00
_cell_angle_gamma 90.00
_space_group_name_H-M_alt 'F -4 3 m'
_space_group_IT_number 216
_space_group_name_Hall 'F -4 2 3'
loop_
_atom_site_label
_atom_site_fract_x
_atom_site_fract_y
_atom_site_fract_z
Lu1 0.0000 0.0000 0.0000
Mg1 0.0000 0.0000 0.5000
Pb1 0.2500 0.2500 0.2500
Au1 0.2500 0.2500 0.7500
# DFT formation energy: -480 meV/atom

***

| no. | volume (Å³ per atom) | density of states at the Fermi level (states/eV per cell) |
| --- | --- | --- |
| 1 | 44.4 | 20.9 |
| 2 | 22.9 | 2.6 |
| 3 | 21.4 | 4.9 |
| 4 | 21.8 | 18.3 |
| 5 | 21.4 | 5.1 |
| 6 | 14.5 | 13.9 |
| 7 | 15.7 | 7.2 |
| 8 | 14.8 | 2.3 |
| 9 | 30.9 | 22.3 |
| 10 | 17.5 | 4.1 |
| 11 | 13.5 | 5.3 |
| 12 | 22.9 | 4.4 |